First-principles (PBE+U) data for CaMg2VF8 after structural relaxation, as listed in Alexandria.

It has space group Cmmm (No. 65), with a = 6.9143 Å, b = 6.9777 Å, c = 6.4732 Å, α = 90.00°, β = 90.00° and γ = 90.00°. Symmetry generates all atoms from Ca at (0.0000, 0.0000, 0.0000), Mg at (0.0000, 0.5000, 0.2554), V at (0.0000, 0.0000, 0.5000), F at (0.0000, 0.3093, 0.5000), F at (0.0000, 0.3217, 0.0000) and F at (0.2120, 0.0000, 0.2637).

The uncorrected energy comes out at -5.701 eV/atom. Its volume is 312 Å³/cell. As for the density of states at the Fermi level: 0.0 states/eV per cell. Its total magnetization is 6.00 μB/cell.